Density functional theory data (PBE) for an optimized crystal structure of Sr3PuB2N6.

Values from the calculation:
* crystal system: trigonal
* formation energy without anion corrections: -0.927 eV/atom
* M_tot: 2.064 μB/cell

Cell lengths 5.6143, 5.6143, 6.6018 Å; angles 90.00, 90.00, 120.00 degrees
Sites, in units of the cell vectors:
1 Sr 0.3333 0.6667 0.6926
2 Sr 0.6667 0.3333 0.3074
3 Sr 0.0000 0.0000 0.0000
4 Pu 0.0000 0.0000 0.5000
5 B 0.6667 0.3333 0.7170
6 B 0.3333 0.6667 0.2830
7 N 0.6356 0.8178 0.2974
8 N 0.1822 0.3644 0.2974
9 N 0.1822 0.8178 0.2974
10 N 0.8178 0.6357 0.7026
11 N 0.3644 0.1822 0.7026
12 N 0.8178 0.1822 0.7026



Density functional theory data (PBE) for an optimized crystal structure of Ac2Tl3Bi3.

Values from the calculation:
* formation energy: -3.8 eV per formula unit
* crystal system: orthorhombic
* M_tot: 0.000 μB/cell

Cell lengths 5.1607, 5.0393, 10.0715 Å; angles 90.00, 90.00, 90.00 degrees
Sites, in units of the cell vectors:
1 Ac 0.0000 0.0000 0.7427
2 Ac 0.0000 0.0000 0.2573
3 Tl 0.5000 0.5000 0.7577
4 Tl 0.5000 0.5000 0.2423
5 Tl 0.5000 0.0000 0.0000
6 Bi 0.5000 0.0000 0.5000
7 Bi 0.0000 0.5000 0.0000
8 Bi 0.0000 0.5000 0.5000



Density functional theory data (PBE) for an optimized crystal structure of Ti2NiW2.

Values from the calculation:
* formation energy: 2.0 eV per formula unit
* energy above the most stable polymorph in this dataset: 0.0 kJ/mol of formula units
* crystal system: tetragonal
* M_tot: 0.000 μB/cell

Cell lengths 6.2558, 6.2558, 3.9748 Å; angles 90.00, 90.00, 90.00 degrees
Sites, in units of the cell vectors:
1 Ni 0.0000 0.0000 0.0000
2 Ni 0.5000 0.5000 0.0000
3 W 0.1733 0.6733 0.5000
4 W 0.6733 0.8267 0.5000
5 W 0.8267 0.3267 0.5000
6 W 0.3267 0.1733 0.5000
7 Ti 0.3582 0.8582 0.0000
8 Ti 0.8582 0.6418 0.0000
9 Ti 0.6418 0.1418 0.0000
10 Ti 0.1418 0.3582 0.0000



Density functional theory data (PBE) for an optimized crystal structure of MnIrRu2.

Values from the calculation:
* formation energy: 0.7 eV per formula unit
* energy above the most stable polymorph in this dataset: 90.2 kJ/mol of formula units
* crystal system: orthorhombic
* M_tot: 3.094 μB/cell

Cell lengths 5.2062, 5.2062, 5.2062 Å; angles 148.22, 130.39, 60.13 degrees
Sites, in units of the cell vectors:
1 Ir 0.4759 0.4759 0.0000
2 Mn 0.2484 0.7484 0.5000
3 Ru 0.0250 0.0250 0.0000
4 Ru 0.7507 0.2507 0.5000



Density functional theory data (PBE) for an optimized crystal structure of VFe3Pt4.

Values from the calculation:
* formation energy: -2.7 eV per formula unit
* crystal system: orthorhombic
* M_tot: 16.740 μB/cell

Cell lengths 4.6937, 5.4579, 8.8031 Å; angles 90.00, 90.00, 90.00 degrees
Sites, in units of the cell vectors:
1 Fe 0.0000 0.0000 0.0000
2 Fe 0.0000 0.0000 0.5000
3 Fe 0.6638 0.0000 0.7500
4 Fe 0.3362 0.0000 0.2500
5 Fe 0.6620 0.5000 0.7500
6 Fe 0.3380 0.5000 0.2500
7 Pt 0.5000 0.7502 0.0000
8 Pt 0.5000 0.7502 0.5000
9 Pt 0.5000 0.2498 0.0000
10 Pt 0.5000 0.2498 0.5000
11 Pt 0.1492 0.7510 0.7500
12 Pt 0.8508 0.7510 0.2500
13 Pt 0.8508 0.2490 0.2500
14 Pt 0.1492 0.2490 0.7500
15 V 0.0000 0.5000 0.0000
16 V 0.0000 0.5000 0.5000



Density functional theory data (PBE) for an optimized crystal structure of GdCdPd2.

Values from the calculation:
* formation energy: -2.5 eV per formula unit
* energy above the most stable polymorph in this dataset: 27.2 kJ/mol of formula units
* crystal system: tetragonal
* M_tot: 7.132 μB/cell

Cell lengths 3.4771, 3.4771, 6.5826 Å; angles 90.00, 90.00, 90.00 degrees
Sites, in units of the cell vectors:
1 Gd 0.5000 0.5000 0.0000
2 Pd 0.0000 0.0000 0.7328
3 Pd 0.0000 0.0000 0.2672
4 Cd 0.5000 0.5000 0.5000



Density functional theory data (PBE) for an optimized crystal structure of HgBrCl2.

Values from the calculation:
* energy above the most stable polymorph in this dataset: 161.5 kJ/mol of formula units
* crystal system: tetragonal
* formation energy without anion corrections: 0.162 eV/atom
* M_tot: 0.853 μB/cell

Cell lengths 3.4345, 3.4345, 9.7367 Å; angles 90.00, 90.00, 90.00 degrees
Sites, in units of the cell vectors:
1 Hg 0.0000 0.0000 0.4861
2 Br 0.5000 0.5000 0.6799
3 Cl 0.0000 0.0000 0.0045
4 Cl 0.5000 0.5000 0.3294



Density functional theory data (PBE) for an optimized crystal structure of Pr6Mg5Sn.

Values from the calculation:
* formation energy: -2.7 eV per formula unit
* crystal system: orthorhombic
* M_tot: 0.000 μB/cell

Cell lengths 5.5238, 7.7946, 8.7638 Å; angles 90.00, 71.63, 90.00 degrees
Sites, in units of the cell vectors:
1 Pr 0.8346 0.7485 0.3309
2 Pr 0.8346 0.2515 0.3309
3 Pr 0.5000 0.2469 0.0000
4 Pr 0.5000 0.7531 0.0000
5 Pr 0.1654 0.7485 0.6691
6 Pr 0.1654 0.2515 0.6691
7 Mg 0.6664 0.5000 0.6672
8 Mg 0.3279 0.0000 0.3443
9 Mg 0.0000 0.5000 0.0000
10 Mg 0.6721 0.0000 0.6557
11 Mg 0.3336 0.5000 0.3328
12 Sn 0.0000 0.0000 0.0000



Density functional theory data (PBE) for an optimized crystal structure of AlCu2Ru.

Values from the calculation:
* formation energy: 0.4 eV per formula unit
* crystal system: trigonal
* M_tot: 0.562 μB/cell

Cell lengths 8.6363, 8.6363, 8.6363 Å; angles 17.91, 17.91, 17.91 degrees
Sites, in units of the cell vectors:
1 Ru 0.2500 0.2500 0.2500
2 Al 0.7500 0.7500 0.7500
3 Cu 0.0023 0.0023 0.0023
4 Cu 0.4977 0.4977 0.4977



Density functional theory data (PBE) for an optimized crystal structure of K2H2SeCl2.

Values from the calculation:
* uncorrected energy: -3.218 eV per atom
* crystal system: triclinic
* M_tot: 0.000 μB/cell

Cell lengths 4.9175, 4.9448, 9.8909 Å; angles 62.55, 105.23, 74.24 degrees
Sites, in units of the cell vectors:
1 K 0.4475 0.8994 0.7744
2 K 0.5525 0.1006 0.2256
3 H 0.9729 0.3389 0.8169
4 H 0.0271 0.6611 0.1831
5 Se 0.0000 0.0000 0.0000
6 Cl 0.0490 0.3587 0.3458
7 Cl 0.9510 0.6413 0.6542



Density functional theory data (PBE) for an optimized crystal structure of LiSm2Ni3Ge4.

Values from the calculation:
* formation energy: -6.6 eV per formula unit
* crystal system: tetragonal
* M_tot: 0.000 μB/cell

Cell lengths 4.1643, 4.1643, 9.7686 Å; angles 90.00, 90.00, 90.00 degrees
Sites, in units of the cell vectors:
1 Li 0.5000 0.5000 0.5000
2 Sm 0.5000 0.0000 0.2492
3 Sm 0.0000 0.5000 0.7508
4 Ni 0.0000 0.0000 0.5000
5 Ni 0.5000 0.0000 0.8787
6 Ni 0.0000 0.5000 0.1213
7 Ge 0.5000 0.5000 0.0000
8 Ge 0.0000 0.0000 0.0000
9 Ge 0.5000 0.0000 0.6355
10 Ge 0.0000 0.5000 0.3645



Density functional theory data (PBE) for an optimized crystal structure of Sr3AuC.

Values from the calculation:
* formation energy: 0.5 eV per formula unit
* energy above the most stable polymorph in this dataset: 0.0 kJ/mol of formula units
* crystal system: cubic
* M_tot: 0.000 μB/cell

Cell lengths 5.3676, 5.3676, 5.3676 Å; angles 90.00, 90.00, 90.00 degrees
Sites, in units of the cell vectors:
1 Sr 0.0000 0.5000 0.0000
2 Sr 0.0000 0.0000 0.5000
3 Sr 0.5000 0.0000 0.0000
4 C 0.0000 0.0000 0.0000
5 Au 0.5000 0.5000 0.5000